5
Lattice="-3.5997 -1.0095 -1.8971 1.1027 -6.9764 1.6198 -2.0520 0.5160 3.6192" Properties=species:S:1:pos:R:3 comment="SrReWF2 (PBE with a Hubbard U, relaxed)" final_energy_ev_per_atom=-5.147 magmom_total_mub_per_fu=1.770 pbc="T T T"
Re 0.5514 -3.4882 0.8099
W -2.2745 -3.7350 1.6710
F -1.0260 0.2580 1.8096
Sr 0.0000 0.0000 0.0000
F -1.7999 -0.5047 -0.9485